1.
4
Lattice="0.000 3.257 3.257 3.257 0.000 3.257 3.257 3.257 0.000" Properties=species:S:1:pos:R:3 comment="GaFeHgAu, relaxed, DFT PBE" de_polymorph_mev_per_atom=0 space_group="F-43m (216)" vol_a3_per_cell=69 pbc="T T T"
Ga 0.000 0.000 0.000
Fe 1.628 1.628 1.628
Hg 3.257 3.257 3.257
Au 4.885 4.885 4.885

---

2.
4
Lattice="0.000 3.159 3.159 3.159 0.000 3.159 3.159 3.159 0.000" Properties=species:S:1:pos:R:3 comment="LuAlFePd, relaxed, DFT PBE" de_polymorph_mev_per_atom=0 space_group="F-43m (216)" vol_a3_per_cell=63 pbc="T T T"
Lu 0.000 0.000 0.000
Al 3.159 3.159 3.159
Fe 4.739 4.739 4.739
Pd 1.580 1.580 1.580

---

3.
11
Lattice="-1.915 7.755 4.759 1.915 -7.755 4.759 1.915 7.755 -4.759" Properties=species:S:1:pos:R:3 comment="Dy2Y2Lu3Ni2Te2, relaxed, DFT PBE" de_polymorph_mev_per_atom=2 space_group="Imm2 (44)" vol_a3_per_cell=283 pbc="T T T"
Dy 0.000 2.277 0.000
Dy 0.000 13.233 0.000
Y 0.000 5.713 1.413
Y 0.000 9.797 1.413
Lu 1.915 4.893 -1.431
Lu 1.915 0.000 2.196
Lu 0.000 2.862 3.328
Ni 1.915 3.688 1.517
Ni 0.000 4.067 6.275
Te 0.000 0.000 4.698
Te 0.000 7.755 3.762

---

4.
3
Lattice="0.000 3.287 3.287 3.287 0.000 3.287 3.287 3.287 0.000" Properties=species:S:1:pos:R:3 comment="LaTbB, relaxed, DFT PBE" de_polymorph_mev_per_atom=0 space_group="F-43m (216)" vol_a3_per_cell=71 pbc="T T T"
La 0.000 0.000 0.000
Tb 3.287 3.287 3.287
B 1.644 1.644 1.644

---

5.
20
Lattice="6.064 0.000 0.000 -3.032 5.252 0.000 0.000 0.000 15.645" Properties=species:S:1:pos:R:3 comment="Rb2Pt3, relaxed, DFT PBE" energy_ev_per_atom=-3.76 space_group="P6_3/mmc (194)" vol_a3_per_cell=498 pbc="T T T"
Rb 0.000 0.000 3.911
Rb 0.000 0.000 11.734
Rb 0.000 3.501 2.121
Rb 0.000 3.501 5.702
Rb 0.000 3.501 11.734
Rb 3.032 1.751 3.911
Rb 3.032 1.751 9.943
Rb 3.032 1.751 13.525
Pt 0.000 1.957 8.734
Pt 0.000 1.957 14.733
Pt -1.337 4.273 8.734
Pt -1.337 4.273 14.733
Pt 1.695 0.979 0.912
Pt 1.695 0.979 6.911
Pt 1.337 4.273 8.734
Pt 1.337 4.273 14.733
Pt 4.369 0.979 0.912
Pt 4.369 0.979 6.911
Pt 3.032 3.294 0.912
Pt 3.032 3.294 6.911

---

6.
4
Lattice="0.000 3.250 3.250 3.250 0.000 3.250 3.250 3.250 0.000" Properties=species:S:1:pos:R:3 comment="LiLaNbCo, relaxed, DFT PBE" de_polymorph_mev_per_atom=217 space_group="F-43m (216)" vol_a3_per_cell=69 pbc="T T T"
Li 0.000 0.000 0.000
La 3.250 3.250 3.250
Nb 4.874 4.874 4.874
Co 1.625 1.625 1.625